Entry 1:
Here is a geometry-optimized NbSb2Ir structure from the Alexandria database. Energies are from GGA-PBE.

```
NbSb2Ir
1.0
-1.175 5.223 3.509
-2.341 -3.676 4.688
3.244 0.411 6.313
Sb Nb Ir
4 2 2
Direct
0.649 0.125 0.250
0.101 0.625 0.250
0.375 0.351 0.750
0.875 0.899 0.750
0.500 0.500 0.000
0.250 0.750 0.500
0.000 0.000 0.000
0.750 0.250 0.500
```

Computed properties:
Polymorph energy (0 for the lowest one) ... 492 meV per atom
Space group ... No. 122
Fermi-level density of states ... 6.4 states/eV/cell
Magnetization ... 0.0 μB/f.u.


Entry 2:
Here is a geometry-optimized Ac2NdIn12Ni3 structure from the Alexandria database. Energies are from GGA-PBE.

```
Ac2NdIn12Ni3
1.0
8.691 -0.334 -0.237
4.002 7.723 -0.237
4.002 2.329 7.367
Ac Nd In Ni
2 1 12 3
Direct
0.585 0.585 0.585
0.415 0.415 0.415
0.000 0.000 0.000
0.277 0.277 0.888
0.841 0.841 0.457
0.457 0.841 0.841
0.888 0.277 0.277
0.841 0.457 0.841
0.277 0.888 0.277
0.723 0.723 0.112
0.159 0.159 0.543
0.543 0.159 0.159
0.112 0.723 0.723
0.159 0.543 0.159
0.723 0.112 0.723
0.500 0.000 0.000
0.000 0.500 0.000
0.000 0.000 0.500
```

Computed properties:
Formation energy from the elements ... -5.1 kJ/mol of atoms
Space group ... No. 166
Fermi-level density of states ... 11.9 states/eV/cell
Magnetization ... 0.0 μB/f.u.


Entry 3:
Here is a geometry-optimized Ca3Tl2Pb3 structure from the Alexandria database. Energies are from GGA-PBE.

```
Ca3Tl2Pb3
1.0
-0.430 1.336 3.698
-3.380 -4.286 1.155
8.669 -5.982 3.170
Ca Tl Pb
3 2 3
Direct
0.500 0.500 0.743
0.500 0.500 0.257
0.500 0.000 0.000
0.000 0.000 0.747
0.000 0.000 0.253
0.500 0.000 0.500
0.000 0.500 0.000
0.000 0.500 0.500
```

Computed properties:
Formation energy from the elements ... -34.8 kJ/mol of atoms
Space group ... No. 47
Fermi-level density of states ... 3.7 states/eV/cell
Magnetization ... 0.0 μB/f.u.


Entry 4:
Here is a geometry-optimized ScPaTcAu structure from the Alexandria database. Energies are from GGA-PBE.

```
ScPaTcAu
1.0
4.861 0.000 0.000
2.431 4.210 0.000
2.431 1.403 3.969
Sc Pa Au Tc
1 1 1 1
Direct
0.250 0.250 0.250
0.750 0.750 0.750
0.000 0.000 0.000
0.500 0.500 0.500
```

Computed properties:
Formation energy from the elements ... -26.8 kJ/mol of atoms
Space group ... No. 216
Fermi-level density of states ... 6.2 states/eV/cell
Magnetization ... 0.0 μB/f.u.


Entry 5:
Here is a geometry-optimized La4MnCu2 structure from the Alexandria database. Energies are from GGA-PBE.

```
La4MnCu2
1.0
-2.467 3.568 -2.687
-4.382 -1.339 2.246
-2.139 6.155 5.292
Mn Cu La
1 2 4
Direct
0.000 0.000 0.000
0.627 0.627 0.747
0.373 0.373 0.253
0.816 0.816 0.367
0.184 0.184 0.633
0.000 0.500 0.000
0.500 0.000 0.000
```

Computed properties:
Formation energy from the elements ... 14.0 kJ/mol of atoms
Space group ... No. 139
Fermi-level density of states ... 6.5 states/eV/cell
Magnetization ... 0.0 μB/f.u.


Entry 6:
Here is a geometry-optimized Ti6Al2Pt structure from the Alexandria database. Energies are from GGA-PBE.

```
Ti6Al2Pt
1.0
4.272 0.000 -0.163
0.000 6.264 0.000
-1.878 -3.132 6.563
Ti Al Pt
6 2 1
Direct
0.164 0.409 0.328
0.836 0.080 0.672
0.836 0.591 0.672
0.500 0.246 0.000
0.164 0.920 0.328
0.500 0.754 0.000
0.666 0.666 0.333
0.334 0.334 0.667
0.000 0.000 0.000
```

Computed properties:
Formation energy from the elements ... 3.2 kJ/mol of atoms
Space group ... No. 12
Fermi-level density of states ... 11.2 states/eV/cell
Magnetization ... 0.0 μB/f.u.


Entry 7:
Here is a geometry-optimized IrRh3 structure from the Alexandria database. Energies are from GGA-PBE.

```
IrRh3
1.0
2.733 0.000 0.000
0.000 4.428 0.000
0.000 0.000 4.730
Ir Rh
1 3
Direct
0.000 0.000 0.000
0.000 0.500 0.332
0.500 0.000 0.501
0.500 0.500 0.833
```

Computed properties:
Formation energy from the elements ... 4.4 kJ/mol of atoms
Space group ... No. 25
Fermi-level density of states ... 6.7 states/eV/cell
Magnetization ... 0.0 μB/f.u.


Entry 8:
Here is a geometry-optimized LiHf2C2 structure from the Alexandria database. Energies are from GGA-PBE.

```
LiHf2C2
1.0
-4.236 0.364 -0.795
-0.678 -3.850 1.850
-3.132 0.625 5.208
C Hf Li
2 2 1
Direct
0.195 0.195 0.611
0.805 0.805 0.389
0.750 0.250 0.500
0.250 0.750 0.500
0.000 0.000 0.000
```

Computed properties:
Formation energy from the elements ... -6.5 kJ/mol of atoms
Polymorph energy (0 for the lowest one) ... 171 meV per atom
Space group ... No. 139
Fermi-level density of states ... 2.2 states/eV/cell
Magnetization ... 0.0 μB/f.u.


The density results, record by record, are as follows: 7.82 6.95 7.87 11.67 6.21 5.13 14.53 6.51 g cm⁻³.